(1)
Compound: NaLiZrSe3
Source: OQMD via LeMat-Bulk
Functional: PBE
Structure: optimized geometry

```
NaLiZrSe3
1.0
-9.316 4.541 8.721
1.565 -2.224 2.830
6.434 7.982 2.716
Na Zr Li Se
4 4 4 12
direct
0.229 0.750 0.982
0.771 0.250 0.018
0.729 0.750 0.518
0.271 0.250 0.482
0.511 0.750 0.830
0.489 0.250 0.170
0.011 0.750 0.670
0.989 0.250 0.330
0.988 0.750 0.089
0.012 0.250 0.911
0.512 0.250 0.589
0.488 0.750 0.411
0.364 0.750 0.240
0.098 0.250 0.125
0.136 0.250 0.740
0.636 0.250 0.760
0.394 0.250 0.935
0.864 0.750 0.260
0.402 0.750 0.625
0.106 0.750 0.435
0.598 0.250 0.375
0.606 0.750 0.065
0.902 0.750 0.875
0.894 0.250 0.565
```

Its energy is -4.976 eV/atom. The calculation puts the polymorph energy (0 for the lowest one) at 0 meV per atom.

(2)
Compound: BeGaCuOs
Source: OQMD via LeMat-Bulk
Functional: PBE
Structure: optimized geometry

```
BeGaCuOs
1.0
0.000 2.909 2.909
2.909 0.000 2.909
2.909 2.909 0.000
Os Ga Cu Be
1 1 1 1
direct
0.500 0.500 0.500
0.000 0.000 0.000
0.750 0.750 0.750
0.250 0.250 0.250
```

Its energy is -5.210 eV/atom. The calculation puts the polymorph energy (0 for the lowest one) at 185 meV per atom.

(3)
Compound: ErZnAg
Source: OQMD via LeMat-Bulk
Functional: PBE
Structure: optimized geometry

```
ErZnAg
1.0
0.000 3.358 3.358
3.358 0.000 3.358
3.358 3.358 0.000
Ag Er Zn
1 1 1
direct
0.250 0.250 0.250
0.000 0.000 0.000
0.750 0.750 0.750
```

Its energy is -2.700 eV/atom. As for the formation energy from the elements: 0.184 eV per atom.

(4)
Compound: TbScCu2Ge2
Source: OQMD via LeMat-Bulk
Functional: PBE
Structure: optimized geometry

```
TbScCu2Ge2
1.0
4.220 0.000 0.000
-2.110 3.655 0.000
0.000 0.000 6.957
Ge Cu Tb Sc
2 2 1 1
direct
0.667 0.333 0.983
0.333 0.667 0.454
0.333 0.667 0.061
0.667 0.333 0.511
0.000 0.000 0.746
0.000 0.000 0.245
```

Its energy is -5.279 eV/atom.

(5)
Compound: Pr3AgHg3Au2
Source: OQMD via LeMat-Bulk
Functional: PBE
Structure: optimized geometry

```
Pr3AgHg3Au2
1.0
-3.154 -2.033 7.224
7.124 -3.150 -2.363
1.883 3.008 1.669
Pr Au Ag Hg
3 2 1 3
direct
0.403 0.403 0.000
0.000 0.597 0.000
0.597 0.000 0.000
0.667 0.333 0.500
0.333 0.667 0.500
0.000 0.000 0.000
0.000 0.266 0.500
0.266 0.000 0.500
0.734 0.734 0.500
```

Its energy is -3.315 eV/atom. As for the formation energy from the elements: -0.584 eV per atom.

(6)
Compound: Ho2LuScIn2
Source: OQMD via LeMat-Bulk
Functional: PBE
Structure: optimized geometry

```
Ho2LuScIn2
1.0
5.232 0.000 0.000
-2.616 4.531 0.000
0.000 0.000 6.593
Ho Sc In Lu
2 1 2 1
direct
0.667 0.333 0.255
0.667 0.333 0.745
0.333 0.667 0.500
0.333 0.667 0.000
0.000 0.000 0.500
0.000 0.000 0.000
```

Its energy is -4.601 eV/atom.

(7)
Compound: Ho2TmMg3Ir3
Source: OQMD via LeMat-Bulk
Functional: PBE
Structure: optimized geometry

```
Ho2TmMg3Ir3
1.0
-1.438 -0.259 -3.761
3.212 -6.417 -0.787
-6.743 0.367 2.553
Tm Ir Ho Mg
1 3 2 3
direct
0.000 0.408 0.408
0.500 0.334 0.665
0.500 0.665 0.334
0.000 0.001 0.001
0.000 0.000 0.591
0.000 0.591 0.000
0.500 0.754 0.754
0.500 0.000 0.246
0.500 0.246 0.000
```

Its energy is -5.681 eV/atom.

(8)
Compound: Lu4GaCoN2
Source: OQMD via LeMat-Bulk
Functional: PBE
Structure: optimized geometry

```
Lu4GaCoN2
1.0
3.344 0.000 0.000
-1.672 2.896 0.000
0.000 0.000 14.094
Lu Co N Ga
4 1 2 1
direct
0.000 0.000 0.638
0.667 0.333 0.170
0.000 0.000 0.362
0.667 0.333 0.830
0.667 0.333 0.500
0.333 0.667 0.256
0.333 0.667 0.744
0.000 0.000 0.000
```

Its energy is -6.555 eV/atom.

(9)
Compound: KGe5Os3
Source: OQMD via LeMat-Bulk
Functional: PBE
Structure: optimized geometry

```
KGe5Os3
1.0
5.350 0.000 0.000
-2.675 4.633 0.000
0.000 0.000 8.036
Ge K Os
5 1 3
direct
0.333 0.667 0.762
0.667 0.333 0.762
0.000 0.000 0.500
0.667 0.333 0.238
0.333 0.667 0.238
0.000 0.000 0.000
0.500 0.000 0.500
0.000 0.500 0.500
0.500 0.500 0.500
```

Its energy is -6.165 eV/atom.

(10)
Compound: ZnSnSO
Source: OQMD via LeMat-Bulk
Functional: PBE
Structure: optimized geometry

```
ZnSnSO
1.0
-1.696 -0.183 -3.276
1.978 -2.999 -0.856
-7.969 -6.537 4.490
Zn S Sn O
2 2 2 2
direct
0.250 0.750 0.000
0.750 0.250 0.000
0.250 0.250 0.132
0.750 0.750 0.868
0.750 0.750 0.387
0.250 0.250 0.613
0.750 0.750 0.572
0.250 0.250 0.428
```

Its energy is -4.346 eV/atom. The calculation puts the polymorph energy (0 for the lowest one) at 183 meV per atom.

(11)
Compound: RbNdIn
Source: OQMD via LeMat-Bulk
Functional: PBE
Structure: optimized geometry

```
RbNdIn
1.0
8.610 0.000 0.000
-4.305 7.456 0.000
0.000 0.000 5.474
In Nd Rb
3 3 3
direct
0.333 0.667 0.000
0.667 0.333 0.000
0.000 0.000 0.500
0.761 0.761 0.000
0.000 0.239 0.000
0.239 0.000 0.000
0.568 0.000 0.500
0.000 0.568 0.500
0.432 0.432 0.500
```

Its energy is -2.717 eV/atom. The calculation puts the polymorph energy (0 for the lowest one) at 0 meV per atom.

(12)
Compound: Pr2AlInPd4
Source: OQMD via LeMat-Bulk
Functional: PBE
Structure: optimized geometry

```
Pr2AlInPd4
1.0
-2.398 0.961 3.723
-2.126 -0.797 -3.921
-0.426 -9.204 2.101
Pd Pr Al In
4 2 1 1
direct
0.667 0.333 0.916
0.333 0.667 0.428
0.333 0.667 0.084
0.667 0.333 0.572
0.667 0.333 0.253
0.333 0.667 0.747
0.000 0.000 0.500
0.000 0.000 0.000
```

Its energy is -5.396 eV/atom.

(13)
Compound: TcBr2
Source: OQMD via LeMat-Bulk
Functional: PBE
Structure: optimized geometry

```
TcBr2
1.0
5.881 0.000 0.000
0.000 5.881 0.000
0.000 0.000 3.950
Br Tc
4 2
direct
0.696 0.696 0.000
0.304 0.304 0.000
0.804 0.196 0.500
0.196 0.804 0.500
0.000 0.000 0.000
0.500 0.500 0.500
```

Its energy is -4.481 eV/atom. The calculation puts the polymorph energy (0 for the lowest one) at 0 meV per atom.

(14)
Compound: Zn2CoMo
Source: OQMD via LeMat-Bulk
Functional: PBE
Structure: optimized geometry

```
Zn2CoMo
1.0
3.455 1.749 1.689
-0.154 1.657 3.883
1.992 -1.917 3.195
Co Zn Mo
1 2 1
direct
0.750 0.750 0.750
0.250 0.250 0.250
0.000 0.000 0.000
0.500 0.500 0.500
```

Its energy is -4.972 eV/atom. As for the formation energy from the elements: 0.149 eV per atom. The calculation puts the polymorph energy (0 for the lowest one) at 0 meV per atom.

(15)
Compound: SmBeNO
Source: OQMD via LeMat-Bulk
Functional: PBE
Structure: optimized geometry

```
SmBeNO
1.0
3.537 0.000 0.000
0.000 3.537 0.000
0.000 0.000 7.445
O Be N Sm
2 2 2 2
direct
0.250 0.750 0.000
0.750 0.250 0.000
0.250 0.750 0.500
0.750 0.250 0.500
0.250 0.250 0.589
0.750 0.750 0.411
0.250 0.250 0.178
0.750 0.750 0.822
```

Its energy is -7.162 eV/atom. The calculation puts the polymorph energy (0 for the lowest one) at 308 meV per atom.

(16)
Compound: Ho3Se2N
Source: OQMD via LeMat-Bulk
Functional: PBE
Structure: optimized geometry

```
Ho3Se2N
1.0
3.735 0.000 0.000
-1.868 3.235 0.000
0.000 0.000 9.995
Ho Se N
3 2 1
direct
0.333 0.667 0.375
0.667 0.333 0.625
0.000 0.000 0.000
0.667 0.333 0.183
0.333 0.667 0.817
0.000 0.000 0.500
```

Its energy is -6.512 eV/atom.

(17)
Compound: ZrSi
Source: OQMD via LeMat-Bulk
Functional: PBE
Structure: optimized geometry

```
ZrSi
1.0
-0.354 -10.013 4.626
3.042 -1.987 -4.068
4.050 1.024 2.527
Zr Si
8 8
direct
0.253 0.254 0.000
0.995 0.000 0.000
0.414 0.754 0.500
0.253 0.746 0.000
0.672 0.500 0.500
0.559 0.000 0.000
0.108 0.500 0.500
0.414 0.246 0.500
0.781 0.728 0.000
0.885 0.772 0.500
0.014 0.500 0.000
0.781 0.272 0.000
0.653 0.000 0.500
0.486 0.500 0.000
0.885 0.228 0.500
0.181 0.000 0.500
```

Its energy is -7.363 eV/atom.

(18)
Compound: LaTlZn2
Source: OQMD via LeMat-Bulk
Functional: PBE
Structure: optimized geometry

```
LaTlZn2
1.0
0.000 3.616 3.616
3.616 0.000 3.616
3.616 3.616 0.000
Zn La Tl
2 1 1
direct
0.000 0.000 0.000
0.750 0.750 0.750
0.250 0.250 0.250
0.500 0.500 0.500
```

Its energy is -2.642 eV/atom.

(19)
Compound: DyHoNi4
Source: OQMD via LeMat-Bulk
Functional: PBE
Structure: optimized geometry

```
DyHoNi4
1.0
-4.600 -2.518 -1.065
4.599 -2.736 0.047
-0.981 -1.514 7.814
Ni Ho Dy
8 2 2
direct
0.500 0.500 0.228
0.667 0.333 0.000
0.000 0.500 0.228
0.500 0.000 0.772
0.500 0.000 0.228
0.333 0.667 0.000
0.000 0.500 0.772
0.500 0.500 0.772
0.333 0.667 0.500
0.667 0.333 0.500
0.000 0.000 0.000
0.000 0.000 0.500
```

Its energy is -5.279 eV/atom. As for the formation energy from the elements: -0.037 eV per atom. The calculation puts the polymorph energy (0 for the lowest one) at 420 meV per atom.

(20)
Compound: NaAcNi
Source: OQMD via LeMat-Bulk
Functional: PBE
Structure: optimized geometry

```
NaAcNi
1.0
0.000 3.514 3.514
3.514 0.000 3.514
3.514 3.514 0.000
Ni Na Ac
1 1 1
direct
0.000 0.000 0.000
0.750 0.750 0.750
0.250 0.250 0.250
```

Its energy is -3.524 eV/atom.

(21)
Compound: Y2Fe3Mo2
Source: OQMD via LeMat-Bulk
Functional: PBE
Structure: optimized geometry

```
Y2Fe3Mo2
1.0
-6.073 2.919 2.919
-2.919 2.919 6.073
-2.919 6.073 2.919
Y Mo Fe
2 2 3
direct
0.240 0.240 0.240
0.756 0.756 0.756
0.999 0.999 0.999
0.498 0.498 0.498
0.625 0.625 0.625
0.374 0.374 0.374
0.883 0.883 0.883
```

Its energy is -8.090 eV/atom. As for the formation energy from the elements: 0.418 eV per atom.

(22)
Compound: LaZr2Tl
Source: OQMD via LeMat-Bulk
Functional: PBE
Structure: optimized geometry

```
LaZr2Tl
1.0
0.000 3.708 3.708
3.708 0.000 3.708
3.708 3.708 0.000
La Zr Tl
1 2 1
direct
0.250 0.250 0.250
0.750 0.750 0.750
0.000 0.000 0.000
0.500 0.500 0.500
```

Its energy is -6.023 eV/atom.

(23)
Compound: In2Te2Au
Source: OQMD via LeMat-Bulk
Functional: PBE
Structure: optimized geometry

```
In2Te2Au
1.0
0.806 4.443 -2.375
-3.598 -1.241 -3.398
-3.014 1.158 6.538
Te In Au
2 2 1
direct
0.369 0.369 0.737
0.632 0.632 0.266
0.252 0.751 0.503
0.751 0.252 0.503
0.996 0.996 0.991
```

Its energy is -2.824 eV/atom.

(24)
Compound: LaBiAu2
Source: OQMD via LeMat-Bulk
Functional: PBE
Structure: optimized geometry

```
LaBiAu2
1.0
3.836 0.000 0.000
0.000 3.836 0.000
0.000 0.000 6.933
Bi Au La
1 2 1
direct
0.000 0.000 0.000
0.500 0.500 0.255
0.500 0.500 0.745
0.000 0.000 0.500
```

Its energy is -4.430 eV/atom.

(25)
Compound: LiYFeSi
Source: OQMD via LeMat-Bulk
Functional: PBE
Structure: optimized geometry

```
LiYFeSi
1.0
-2.113 -2.517 3.092
-1.618 1.919 3.749
-4.455 0.411 0.582
Si Li Y Fe
1 1 1 1
direct
0.000 0.000 0.000
0.500 0.500 0.500
0.250 0.250 0.250
0.750 0.750 0.750
```

Its energy is -5.666 eV/atom. The calculation puts the polymorph energy (0 for the lowest one) at 28 meV per atom.